[1]
BaRe2Se: relaxed, PBE-GGA.

```
BaRe2Se
1.0
-2.4414 2.4414 3.4637
2.4414 -2.4414 3.4637
2.4414 2.4414 -3.4637
Ba Re Se
1 2 1
direct
0.0000 0.0000 0.0000
0.2500 0.7500 0.5000
0.5000 0.5000 0.0000
0.7500 0.2500 0.5000
```

Values from the calculation:
D(E_F): 4.07 states/eV/cell
SG: I-4m2, No. 119
ΔE_f (raw): 4.97 eV/f.u.



[2]
BaRe2Se: relaxed, PBE-GGA.

```
BaRe2Se
1.0
-1.4951 2.5467 5.3609
1.4951 -2.5467 5.3609
1.4951 2.5467 -5.3609
Ba Re Se
1 2 1
direct
0.0000 0.0000 0.0000
0.2844 0.7844 0.5000
0.7156 0.2156 0.5000
0.5000 0.5000 0.0000
```

Values from the calculation:
D(E_F): 4.57 states/eV/cell
SG: Immm, No. 71
ΔE_f (raw): 3.77 eV/f.u.



- Among the records above, which one has the lowest D(E_F)?
  number 1